## LuCrO3 (PBE+U)

Data for LuCrO3 after structural relaxation.

Cell: 5.551 7.581 5.213 Å, 90.00 90.00 90.00°
Space group Pnma (No. 62)
Inequivalent atoms, fractional coordinates:
Lu  0.072  0.250  0.022 x4
Cr  0.000  0.000  0.500 x4
O  0.050  0.750  0.374 x4
O  0.193  0.564  0.812 x8

Results
DFT total energy (eV per formula unit): -41.1